VASP calculation (PBEsol) on a relaxed FeSi2Mo crystal.

Values from the calculation:
N(E_F) in states/eV/cell: 1.91
Space group: P4mm (99)
E_form (uncorrected) in eV/f.u.: -1.48

Cell: 3.0861 3.0861 5.2611 Å, 90.00 90.00 90.00°
Element x y z (fractional)
Fe (0.0000, 0.0000, 0.0000)
Si (0.0000, 0.0000, 0.5421)
Si (0.5000, 0.5000, 0.8065)
Mo (0.5000, 0.5000, 0.3088)